(1)
VASP calculation (PBE) on a relaxed structure of LiHf2NiH.

```
LiHf2NiH
1.0
4.428 0.000 0.000
0.000 4.428 0.000
0.000 0.000 3.454
Li Hf Ni H
1 2 1 1
Cartesian
0.000 0.000 0.000 Li
0.000 2.214 1.727 Hf
2.214 0.000 1.727 Hf
2.214 2.214 0.000 Ni
0.000 0.000 1.727 H
```

Values from the calculation:
Space-group type: P4/mmm
Uncorrected energy in eV per atom: -6.3501

***

(2)
VASP calculation (PBE) on a relaxed structure of TbDyHo2.

```
TbDyHo2
1.0
0.000 3.984 3.984
3.984 0.000 3.984
3.984 3.984 0.000
Tb Dy Ho
1 1 2
Cartesian
0.000 0.000 0.000 Tb
3.984 3.984 3.984 Dy
1.992 1.992 1.992 Ho
5.976 5.976 5.976 Ho
```

Values from the calculation:
Space-group type: Fm-3m
Formation energy from the elements in eV per atom: 0.145
Uncorrected energy in eV per atom: -4.4522
Excess energy over the best structure of this formula in the dataset in kcal/mol of atoms: 3.20

***

(3)
VASP calculation (PBE) on a relaxed structure of Ti8Al3Sn2.

```
Ti8Al3Sn2
1.0
4.365 -7.176 0.000
4.365 7.176 0.000
0.000 0.000 4.072
Ti Al Sn
8 3 2
Cartesian
4.365 5.755 0.000 Ti
2.269 1.799 2.036 Ti
4.365 1.902 0.000 Ti
2.269 -1.799 2.036 Ti
6.462 1.799 2.036 Ti
4.365 -1.902 0.000 Ti
6.462 -1.799 2.036 Ti
4.365 -5.755 0.000 Ti
2.356 0.000 0.000 Al
4.365 0.000 2.036 Al
6.375 0.000 0.000 Al
4.365 3.796 2.036 Sn
4.365 -3.796 2.036 Sn
```

Values from the calculation:
Space-group type: Cmmm
Formation energy from the elements in eV per atom: 0.003
Uncorrected energy in eV per atom: -6.3347

***

(4)
VASP calculation (PBE) on a relaxed structure of PaBeCuNi6.

```
PaBeCuNi6
1.0
-2.991 3.902 4.978
2.991 -3.902 4.978
2.991 3.902 -4.978
Pa Be Cu Ni
2 2 2 12
Cartesian
0.000 1.951 2.029 Pa
2.991 1.951 2.949 Pa
0.000 0.000 0.000 Be
0.000 3.902 0.000 Be
1.496 1.951 -2.489 Cu
1.496 -1.951 2.489 Cu
1.754 0.071 1.225 Ni
4.228 0.071 1.225 Ni
2.991 -1.951 4.308 Ni
2.991 1.951 -0.017 Ni
1.754 3.973 -1.225 Ni
1.237 0.071 3.753 Ni
1.754 3.831 1.225 Ni
1.237 -0.071 6.203 Ni
0.000 1.951 4.995 Ni
0.000 5.853 0.670 Ni
-1.237 3.831 3.753 Ni
1.237 3.831 3.753 Ni
```

Values from the calculation:
Space-group type: Imma
Formation energy from the elements in eV per atom: 0.020
Uncorrected energy in eV per atom: -5.7582

***

(5)
VASP calculation (PBE) on a relaxed structure of U6Se12Cl.

```
U6Se12Cl
1.0
6.602 3.812 3.462
-6.602 3.812 3.462
0.000 -7.624 3.462
U Se Cl
6 12 1
Cartesian
0.000 -3.168 4.065 U
-2.743 1.584 4.065 U
-2.743 -1.584 6.320 U
2.743 1.584 4.065 U
2.743 -1.584 6.320 U
0.000 3.168 6.320 U
-2.458 -4.258 5.193 Se
-4.917 0.000 5.193 Se
-1.728 -0.997 3.737 Se
1.728 -0.997 3.737 Se
0.000 1.995 3.737 Se
2.458 -4.258 5.193 Se
-2.458 4.258 5.193 Se
0.000 -1.995 6.649 Se
-1.728 0.997 6.649 Se
1.728 0.997 6.649 Se
4.917 0.000 5.193 Se
2.458 4.258 5.193 Se
0.000 0.000 0.000 Cl
```

Values from the calculation:
Space-group type: R-3m
Uncorrected energy in eV per atom: -6.8781

***

(6)
VASP calculation (PBE) on a relaxed structure of LaTbCl2.

```
LaTbCl2
1.0
1.853 1.070 9.627
-1.853 1.070 9.627
0.000 -2.140 9.627
La Tb Cl
1 1 2
Cartesian
0.000 0.000 0.000 La
0.000 0.000 14.440 Tb
0.000 0.000 11.737 Cl
0.000 0.000 17.143 Cl
```

Values from the calculation:
Space-group type: R-3m
Uncorrected energy in eV per atom: -4.7133

***

(7)
VASP calculation (PBE) on a relaxed structure of KNpFeS3.

```
KNpFeS3
1.0
8.793 0.000 0.000
0.000 3.889 0.000
-2.842 0.000 8.593
K Np Fe S
2 2 2 6
Cartesian
1.052 0.972 1.979 K
4.899 2.917 6.614 K
0.474 2.917 7.210 Np
5.477 0.972 1.383 Np
-0.945 0.972 5.020 Fe
6.896 2.917 3.572 Fe
-1.345 0.972 7.292 S
0.051 2.917 4.547 S
3.555 2.917 1.339 S
2.396 0.972 7.254 S
5.900 0.972 4.046 S
7.296 2.917 1.300 S
```

Values from the calculation:
Space-group type: P2_1/m
Uncorrected energy in eV per atom: -6.8786

***

(8)
VASP calculation (PBE) on a relaxed structure of SrVW2.

```
SrVW2
1.0
-2.509 2.509 8.544
2.509 -2.509 8.544
2.509 2.509 -8.544
Sr V W
2 2 4
Cartesian
2.509 1.255 2.136 Sr
0.000 1.255 6.408 Sr
2.509 -1.255 6.408 V
0.000 3.764 2.136 V
0.000 0.000 0.000 W
1.255 1.255 -4.272 W
1.255 -1.255 4.272 W
0.000 2.509 0.000 W
```

Values from the calculation:
Space-group type: I4_1/amd
Formation energy from the elements in eV per atom: 1.514
Uncorrected energy in eV per atom: -7.6628
Excess energy over the best structure of this formula in the dataset in kcal/mol of atoms: 4.06